(1)
Entry from Alexandria via LeMat-Bulk: crystalline Al2InSn at its relaxed geometry (PBE).

Results
symmetry	No. 122
E_form	0.2275	eV per atom

Cell lengths 7.8975, 7.8975, 6.3502 Å; angles 51.55, 51.55, 90.00 degrees
Fractional coordinates of all 8 atoms:
Al 0.3750 0.3634 0.7500
Al 0.1134 0.6250 0.2500
Al 0.6366 0.1250 0.2500
Al 0.8750 0.8866 0.7500
Sn 0.0000 0.0000 0.0000
Sn 0.7500 0.2500 0.5000
In 0.2500 0.7500 0.5000
In 0.5000 0.5000 0.0000

(2)
Entry from Alexandria via LeMat-Bulk: crystalline CaTe2Pd2 at its relaxed geometry (PBE).

Results
symmetry	No. 139
formation energy without anion corrections	-0.64	eV/atom

Cell lengths 5.2908, 5.2908, 5.8042 Å; angles 62.89, 62.89, 90.00 degrees
Fractional coordinates of all 5 atoms:
Te 0.2500 0.7500 0.5000
Te 0.7500 0.2500 0.5000
Pd 0.6638 0.6638 0.6725
Pd 0.3362 0.3362 0.3275
Ca 0.0000 0.0000 0.0000

(3)
Entry from Alexandria via LeMat-Bulk: crystalline TaRe3H at its relaxed geometry (PBE).

Results
symmetry	No. 221

Cell lengths 4.7851, 4.7851, 4.7851 Å; angles 90.00, 90.00, 90.00 degrees
Fractional coordinates of all 5 atoms:
Re 0.0000 0.5000 0.0000
Re 0.5000 0.0000 0.0000
Re 0.0000 0.0000 0.5000
H 0.5000 0.5000 0.5000
Ta 0.0000 0.0000 0.0000

Electronic total energy values, unit eV/atom, following the record order: -3.33; -4.37; -7.37.